Record 1
Entry from Alexandria: a geometry-optimized NaLiZnO2 structure (PBE).

```
NaLiZnO2
1.0
-0.501 -2.688 1.733
2.760 -1.737 -4.921
5.110 1.811 4.287
O Zn Li Na
4 2 2 2
Direct
0.860 0.721 0.122
0.140 0.279 0.878
0.370 0.740 0.697
0.630 0.260 0.303
0.031 0.063 0.227
0.969 0.937 0.773
0.324 0.649 0.960
0.676 0.351 0.040
0.309 0.618 0.348
0.691 0.382 0.652
```

Properties
- Formation energy from raw total energies: -1.54 eV/atom

---

Record 2
Entry from Alexandria: a geometry-optimized Na3LiZr2O6 structure (PBE).

```
Na3LiZr2O6
1.0
5.584 0.004 -0.002
-2.787 4.838 -0.002
-0.934 -1.618 5.507
Zr O Na Li
2 6 3 1
Direct
0.667 0.333 0.000
0.333 0.667 0.000
0.286 0.286 0.789
0.930 0.573 0.790
0.427 0.070 0.210
0.070 0.427 0.210
0.714 0.714 0.211
0.573 0.930 0.790
0.157 0.843 0.500
0.843 0.157 0.500
0.500 0.500 0.500
0.000 0.000 0.000
```

Properties
- Formation energy from raw total energies: -2.56 eV/atom

---

Record 3
Entry from Alexandria: a geometry-optimized NaLi2Zr2O6 structure (PBE).

```
NaLi2Zr2O6
1.0
5.995 0.000 0.000
2.998 5.192 0.000
2.998 1.731 6.242
Li O Zr Na
2 6 2 1
Direct
0.572 0.572 0.283
0.428 0.428 0.717
0.741 0.207 0.311
0.793 0.259 0.689
0.207 0.741 0.311
0.259 0.259 0.689
0.741 0.741 0.311
0.259 0.793 0.689
0.840 0.840 0.480
0.160 0.160 0.520
0.000 0.000 0.000
```

Properties
- Formation energy from raw total energies: -1.95 eV/atom

---

Please write out number 3 again, unchanged.
Entry from Alexandria: a geometry-optimized NaLi2Zr2O6 structure (PBE).

```
NaLi2Zr2O6
1.0
5.995 0.000 0.000
2.998 5.192 0.000
2.998 1.731 6.242
Li O Zr Na
2 6 2 1
Direct
0.572 0.572 0.283
0.428 0.428 0.717
0.741 0.207 0.311
0.793 0.259 0.689
0.207 0.741 0.311
0.259 0.259 0.689
0.741 0.741 0.311
0.259 0.793 0.689
0.840 0.840 0.480
0.160 0.160 0.520
0.000 0.000 0.000
```

Properties
- Formation energy from raw total energies: -1.95 eV/atom